Here is a relaxed AcTlAgPd crystal from Alexandria. Energies are from PBE-GGA.

- calculated volume (Å³/atom) = 24.994
- energy of formation from the pure elements (eV/atom) = -0.344
- DOS at the Fermi energy (states/eV/cell) = 3.8
- E_tot (eV for the cell shown) = -15.9
- M_tot (μB per formula unit) = 0.00

Cell lengths 5.210, 5.210, 5.210 Å; angles 60.00, 60.00, 60.00 degrees
Sites, in units of the cell vectors:
Ac1 0.000 0.000 0.000
Pd1 0.750 0.750 0.750
Tl1 0.500 0.500 0.500
Ag1 0.250 0.250 0.250

Here is a relaxed Pa2TeBr6 crystal from Alexandria. Energies are from PBE-GGA.

- calculated volume (Å³/atom) = 38.905
- DOS at the Fermi energy (states/eV/cell) = 0.5
- E_tot (eV for the cell shown) = -43.1
- M_tot (μB per formula unit) = 1.98
- formation energy (no corrections) (meV per atom) = -1215

Cell lengths 3.573, 8.434, 12.042 Å; angles 91.37, 81.47, 77.77 degrees
Last column: magnetic moment on the atom in μB.
Sites, in units of the cell vectors:
Pa1 0.338 0.114 0.211  0.94
Pa2 0.662 0.886 0.789  0.94
Te1 0.000 0.000 0.000  -0.08
Br1 0.737 0.379 0.147  -0.02
Br2 0.263 0.621 0.853  -0.02
Br3 0.307 0.784 0.602  -0.02
Br4 0.944 0.845 0.267  -0.02
Br5 0.056 0.155 0.733  -0.02
Br6 0.693 0.216 0.398  -0.02

Here is a relaxed VReHW2 crystal from Alexandria. Energies are from PBE-GGA.

- calculated volume (Å³/atom) = 12.585
- DOS at the Fermi energy (states/eV/cell) = 2.8
- E_tot (eV for the cell shown) = -50.4
- M_tot (μB per formula unit) = 0.00

Cell lengths 4.370, 4.370, 3.294 Å; angles 90.00, 90.00, 90.00 degrees
Sites, in units of the cell vectors:
Re1 0.500 0.500 0.500
H1 0.000 0.000 0.000
W1 0.000 0.500 0.000
W2 0.500 0.000 0.000
V1 0.000 0.000 0.500

Here is a relaxed Sr2LaSb crystal from Alexandria. Energies are from PBE-GGA.

- calculated volume (Å³/atom) = 37.412
- DOS at the Fermi energy (states/eV/cell) = 4.0
- E_tot (eV for the cell shown) = -13.3
- M_tot (μB per formula unit) = 0.00
- formation energy (no corrections) (meV per atom) = -234

Cell lengths 6.704, 6.704, 3.712 Å; angles 90.00, 90.00, 116.23 degrees
Sites, in units of the cell vectors:
La1 0.500 0.000 0.500
Sb1 0.000 0.500 0.500
Sr1 0.000 0.000 0.000
Sr2 0.500 0.500 0.000

Here is a relaxed BeHCl crystal from Alexandria. Energies are from PBE-GGA.

- ΔE to the lowest computed polymorph (eV/atom) = 0.0111
- calculated volume (Å³/atom) = 19.918
- DOS at the Fermi energy (states/eV/cell) = 0.0
- E_tot (eV for the cell shown) = -22.3
- M_tot (μB per formula unit) = 0.00

Cell lengths 4.309, 5.870, 5.956 Å; angles 60.55, 69.27, 69.02 degrees
Sites, in units of the cell vectors:
Be1 0.214 0.794 0.792
Be2 0.714 0.795 0.792
H1 0.391 0.989 0.747
H2 0.872 0.814 0.960
Cl1 0.553 0.453 0.952
Cl2 0.097 0.849 0.467

Here is a relaxed BaScCu2 crystal from Alexandria. Energies are from PBE-GGA.

- ΔE to the lowest computed polymorph (eV/atom) = 0.0516
- calculated volume (Å³/atom) = 26.439
- energy of formation from the pure elements (eV/atom) = 0.011
- DOS at the Fermi energy (states/eV/cell) = 3.6
- E_tot (eV for the cell shown) = -16.4
- M_tot (μB per formula unit) = 0.83

Cell lengths 4.323, 4.323, 6.994 Å; angles 72.03, 72.03, 60.00 degrees
Last column: magnetic moment on the atom in μB.
Sites, in units of the cell vectors:
Ba1 0.734 0.734 0.798  0.11
Cu1 0.942 0.942 0.173  0.01
Cu2 0.273 0.273 0.180  0.01
Sc1 0.551 0.551 0.348  0.22

- Look up the DOS at the Fermi energy of the sixth one.
  3.6 states/eV/cell

- Which of these has the highest calculated volume?
  Pa2TeBr6

- DOS at the Fermi energy of number 2 (Pa2TeBr6)?
  0.5 states/eV/cell